A plane-wave DFT calculation with GGA-PBE was carried out for a relaxed structure of Cd2HgW.

As for the total energy: -3.09 eV per atom. The volume comes out at 19.60 Å³/atom. For the formation energy from the elements, the calculation gives 680 meV/atom.

The structure in CIF format:
```
data_Cd2HgW
_cell_length_a 3.075
_cell_length_b 5.021
_cell_length_c 5.076
_cell_angle_alpha 90.00
_cell_angle_beta 90.00
_cell_angle_gamma 90.00
_symmetry_space_group_name_H-M 'P m m m'
_symmetry_Int_Tables_number 47
loop_
_symmetry_equiv_pos_as_xyz
'x,y,z'
'-x,-y,-z'
'-x,-y,z'
'x,y,-z'
'x,-y,-z'
'-x,y,z'
'-x,y,-z'
'x,-y,z'
loop_
_atom_site_label
_atom_site_type_symbol
_atom_site_fract_x
_atom_site_fract_y
_atom_site_fract_z
_atom_site_occupancy
Cd1 Cd 0.000 0.000 0.000 1
Cd2 Cd 0.500 0.500 0.000 1
Hg1 Hg 0.000 0.500 0.500 1
W1 W 0.500 0.000 0.500 1
```



A plane-wave DFT calculation with GGA-PBE was carried out for a relaxed structure of Cd2HgW.

As for the total energy: -3.25 eV per atom. The volume comes out at 19.55 Å³/atom. For the formation energy from the elements, the calculation gives 519 meV/atom.

The structure in CIF format:
```
data_Cd2HgW
_cell_length_a 5.927
_cell_length_b 9.004
_cell_length_c 2.931
_cell_angle_alpha 90.00
_cell_angle_beta 90.00
_cell_angle_gamma 90.00
_symmetry_space_group_name_H-M 'C m m m'
_symmetry_Int_Tables_number 65
_symmetry_space_group_name_Hall '-C 2 2'
loop_
_atom_site_label
_atom_site_type_symbol
_atom_site_fract_x
_atom_site_fract_y
_atom_site_fract_z
_atom_site_occupancy
Cd1 Cd 0.250 0.250 0.000 1
Hg1 Hg 0.000 0.000 0.500 1
W1 W 0.000 0.500 0.500 1
```



A plane-wave DFT calculation with GGA-PBE was carried out for a relaxed structure of CdHg3W.

For the energy relative to the lowest polymorph listed for this composition, the calculation gives 0.000 eV/atom. As for the total energy: -1.96 eV per atom. The volume comes out at 32.61 Å³/atom. For the formation energy from the elements, the calculation gives 998 meV/atom.

The structure in CIF format:
```
data_CdHg3W
_cell_length_a 5.463
_cell_length_b 5.463
_cell_length_c 5.463
_cell_angle_alpha 90.00
_cell_angle_beta 90.00
_cell_angle_gamma 90.00
_symmetry_space_group_name_H-M 'P m -3 m'
_symmetry_Int_Tables_number 221
_symmetry_space_group_name_Hall '-P 4 2 3'
loop_
_atom_site_label
_atom_site_type_symbol
_atom_site_fract_x
_atom_site_fract_y
_atom_site_fract_z
_atom_site_occupancy
Cd1 Cd 0.000 0.000 0.000 1
Hg1 Hg 0.000 0.500 0.500 1
W1 W 0.500 0.500 0.500 1
```



A plane-wave DFT calculation with GGA-PBE was carried out for a relaxed structure of YCd4Hg7.

For the energy relative to the lowest polymorph listed for this composition, the calculation gives 0.052 eV/atom. As for the total energy: -1.06 eV per atom. The volume comes out at 25.93 Å³/atom. For the formation energy from the elements, the calculation gives -39 meV/atom.

The structure in CIF format:
```
data_YCd4Hg7
_cell_length_a 12.438
_cell_length_b 6.197
_cell_length_c 9.394
_cell_angle_alpha 90.00
_cell_angle_beta 120.73
_cell_angle_gamma 90.00
_symmetry_space_group_name_H-M 'C 1 2/m 1'
_symmetry_Int_Tables_number 12
loop_
_symmetry_equiv_pos_as_xyz
'x,y,z'
'-x,-y,-z'
'-x,y,-z'
'x,-y,z'
'x+1/2,y+1/2,z'
'-x+1/2,-y+1/2,-z'
'-x+1/2,y+1/2,-z'
'x+1/2,-y+1/2,z'
loop_
_atom_site_label
_atom_site_type_symbol
_atom_site_fract_x
_atom_site_fract_y
_atom_site_fract_z
_atom_site_occupancy
Y1 Y 0.000 0.000 0.000 1
Cd1 Cd 0.003 0.500 0.332 1
Cd2 Cd 0.248 0.500 0.327 1
Hg1 Hg 0.000 0.500 0.000 1
Hg2 Hg 0.003 0.000 0.339 1
Hg3 Hg 0.242 0.500 0.658 1
Hg4 Hg 0.249 0.500 0.999 1
```



A plane-wave DFT calculation with GGA-PBE was carried out for a relaxed structure of YCd2Hg8.

For the energy relative to the lowest polymorph listed for this composition, the calculation gives 0.000 eV/atom. As for the total energy: -1.08 eV per atom. The volume comes out at 24.91 Å³/atom. For the formation energy from the elements, the calculation gives -111 meV/atom.

The structure in CIF format:
```
data_YCd2Hg8
_cell_length_a 15.355
_cell_length_b 5.104
_cell_length_c 8.270
_cell_angle_alpha 90.00
_cell_angle_beta 122.28
_cell_angle_gamma 90.00
_symmetry_space_group_name_H-M 'C 1 2/m 1'
_symmetry_Int_Tables_number 12
loop_
_symmetry_equiv_pos_as_xyz
'x,y,z'
'-x,-y,-z'
'-x,y,-z'
'x,-y,z'
'x+1/2,y+1/2,z'
'-x+1/2,-y+1/2,-z'
'-x+1/2,y+1/2,-z'
'x+1/2,-y+1/2,z'
loop_
_atom_site_label
_atom_site_type_symbol
_atom_site_fract_x
_atom_site_fract_y
_atom_site_fract_z
_atom_site_occupancy
Y1 Y 0.000 0.000 0.000 1
Cd1 Cd 0.221 0.500 0.718 1
Hg1 Hg 0.004 0.500 0.690 1
Hg2 Hg 0.137 0.000 0.450 1
Hg3 Hg 0.143 0.000 0.836 1
Hg4 Hg 0.147 0.500 0.153 1
```



A plane-wave DFT calculation with GGA-PBE was carried out for a relaxed structure of Y5CdHg4.

As for the total energy: -3.92 eV per atom. The volume comes out at 26.01 Å³/atom. For the formation energy from the elements, the calculation gives -480 meV/atom.

The structure in CIF format:
```
data_Y5CdHg4
_cell_length_a 3.731
_cell_length_b 3.731
_cell_length_c 18.688
_cell_angle_alpha 90.00
_cell_angle_beta 90.00
_cell_angle_gamma 90.00
_symmetry_space_group_name_H-M 'P 4/m m m'
_symmetry_Int_Tables_number 123
_symmetry_space_group_name_Hall '-P 4 2'
loop_
_atom_site_label
_atom_site_type_symbol
_atom_site_fract_x
_atom_site_fract_y
_atom_site_fract_z
_atom_site_occupancy
Y1 Y 0.000 0.000 0.000 1
Y2 Y 0.000 0.000 0.199 1
Y3 Y 0.000 0.000 0.398 1
Cd1 Cd 0.500 0.500 0.500 1
Hg1 Hg 0.500 0.500 0.100 1
Hg2 Hg 0.500 0.500 0.301 1
```



A plane-wave DFT calculation with GGA-PBE was carried out for a relaxed structure of YCd5Hg4.

As for the total energy: -1.35 eV per atom. The volume comes out at 25.77 Å³/atom. For the formation energy from the elements, the calculation gives -125 meV/atom.

The structure in CIF format:
```
data_YCd5Hg4
_cell_length_a 16.450
_cell_length_b 4.923
_cell_length_c 6.996
_cell_angle_alpha 90.00
_cell_angle_beta 114.56
_cell_angle_gamma 90.00
_symmetry_space_group_name_H-M 'C 1 2/m 1'
_symmetry_Int_Tables_number 12
loop_
_symmetry_equiv_pos_as_xyz
'x,y,z'
'-x,-y,-z'
'-x,y,-z'
'x,-y,z'
'x+1/2,y+1/2,z'
'-x+1/2,-y+1/2,-z'
'-x+1/2,y+1/2,-z'
'x+1/2,-y+1/2,z'
loop_
_atom_site_label
_atom_site_type_symbol
_atom_site_fract_x
_atom_site_fract_y
_atom_site_fract_z
_atom_site_occupancy
Y1 Y 0.000 0.000 0.000 1
Cd1 Cd 0.000 0.000 0.500 1
Cd2 Cd 0.158 0.500 0.156 1
Cd3 Cd 0.179 0.000 0.446 1
Hg1 Hg 0.004 0.500 0.282 1
Hg2 Hg 0.175 0.000 0.906 1
```



A plane-wave DFT calculation with GGA-PBE was carried out for a relaxed structure of YCd4Hg4.

As for the total energy: -1.32 eV per atom. The volume comes out at 24.88 Å³/atom. For the formation energy from the elements, the calculation gives -64 meV/atom.

The structure in CIF format:
```
data_YCd4Hg4
_cell_length_a 6.652
_cell_length_b 6.652
_cell_length_c 10.120
_cell_angle_alpha 90.00
_cell_angle_beta 90.00
_cell_angle_gamma 90.00
_symmetry_space_group_name_H-M 'P 42/n m c'
_symmetry_Int_Tables_number 137
loop_
_symmetry_equiv_pos_as_xyz
'x,y,z'
'-x,-y,-z'
'-y+1/2,x,z+1/2'
'y+1/2,-x,-z+1/2'
'-x+1/2,-y+1/2,z'
'x+1/2,y+1/2,-z'
'y,-x+1/2,z+1/2'
'-y,x+1/2,-z+1/2'
'x+1/2,-y,-z'
'-x+1/2,y,z'
'-y,-x,-z+1/2'
'y,x,z+1/2'
'-x,y+1/2,-z'
'x,-y+1/2,z'
'y+1/2,x+1/2,-z+1/2'
'-y+1/2,-x+1/2,z+1/2'
loop_
_atom_site_label
_atom_site_type_symbol
_atom_site_fract_x
_atom_site_fract_y
_atom_site_fract_z
_atom_site_occupancy
Y1 Y 0.250 0.750 0.250 1
Cd1 Cd 0.038 0.250 0.192 1
Hg1 Hg 0.007 0.750 0.515 1
```



A plane-wave DFT calculation with GGA-PBE was carried out for a relaxed structure of Y3Cd2Hg4.

For the energy relative to the lowest polymorph listed for this composition, the calculation gives 0.000 eV/atom. As for the total energy: -2.89 eV per atom. The volume comes out at 24.50 Å³/atom. For the formation energy from the elements, the calculation gives -399 meV/atom.

The structure in CIF format:
```
data_Y3Cd2Hg4
_cell_length_a 11.017
_cell_length_b 4.950
_cell_length_c 9.204
_cell_angle_alpha 90.00
_cell_angle_beta 118.50
_cell_angle_gamma 90.00
_symmetry_space_group_name_H-M 'C 1 2/m 1'
_symmetry_Int_Tables_number 12
loop_
_symmetry_equiv_pos_as_xyz
'x,y,z'
'-x,-y,-z'
'-x,y,-z'
'x,-y,z'
'x+1/2,y+1/2,z'
'-x+1/2,-y+1/2,-z'
'-x+1/2,y+1/2,-z'
'x+1/2,-y+1/2,z'
loop_
_atom_site_label
_atom_site_type_symbol
_atom_site_fract_x
_atom_site_fract_y
_atom_site_fract_z
_atom_site_occupancy
Y1 Y 0.000 0.000 0.000 1
Y2 Y 0.164 0.500 0.670 1
Cd1 Cd 0.112 0.500 0.281 1
Hg1 Hg 0.066 0.000 0.396 1
Hg2 Hg 0.211 0.500 0.048 1
```



A plane-wave DFT calculation with GGA-PBE was carried out for a relaxed structure of YCd6Hg2.

For the energy relative to the lowest polymorph listed for this composition, the calculation gives 0.000 eV/atom. As for the total energy: -1.54 eV per atom. The volume comes out at 23.41 Å³/atom. For the formation energy from the elements, the calculation gives -143 meV/atom.

The structure in CIF format:
```
data_YCd6Hg2
_cell_length_a 8.677
_cell_length_b 5.010
_cell_length_c 9.694
_cell_angle_alpha 90.00
_cell_angle_beta 90.10
_cell_angle_gamma 90.00
_symmetry_space_group_name_H-M 'C 1 2/m 1'
_symmetry_Int_Tables_number 12
loop_
_symmetry_equiv_pos_as_xyz
'x,y,z'
'-x,-y,-z'
'-x,y,-z'
'x,-y,z'
'x+1/2,y+1/2,z'
'-x+1/2,-y+1/2,-z'
'-x+1/2,y+1/2,-z'
'x+1/2,-y+1/2,z'
loop_
_atom_site_label
_atom_site_type_symbol
_atom_site_fract_x
_atom_site_fract_y
_atom_site_fract_z
_atom_site_occupancy
Y1 Y 0.000 0.000 0.000 1
Cd1 Cd 0.000 0.000 0.338 1
Cd2 Cd 0.166 0.500 0.806 1
Cd3 Cd 0.167 0.500 0.475 1
Hg1 Hg 0.167 0.500 0.145 1
```